This record from the Alexandria database describes crystalline CdHg2Sb at its relaxed geometry. The functional is PBE-GGA. Values from VASP.

Structure (Quantum ESPRESSO input):
```
&SYSTEM
  ibrav = 0, nat = 4, ntyp = 3
/
ATOMIC_SPECIES
Cd 112.41 Cd.upf
Hg 200.59 Hg.upf
Sb 121.76 Sb.upf
CELL_PARAMETERS angstrom
5.5442 -0.1667 0.0000
1.5626 5.3220 0.0000
-3.5534 -2.5776 3.3904
ATOMIC_POSITIONS crystal
Cd 0.7500 0.2500 0.5000
Hg 0.0000 0.0000 0.0000
Hg 0.5000 0.5000 0.0000
Sb 0.2500 0.7500 0.5000
```

The calculation puts the calculated density at 10.5 g/cm3. As for the total magnetic moment: 0.00 μB/cell. As for the formation energy without anion corrections: 0.12 eV/atom. The calculation puts the density of states at the Fermi level at 0.374 states/eV/atom.

=====

This record from the Alexandria database describes crystalline ZrAl2Au at its relaxed geometry. The functional is PBE-GGA. Values from VASP.

Structure (Quantum ESPRESSO input):
```
&SYSTEM
  ibrav = 0, nat = 4, ntyp = 3
/
ATOMIC_SPECIES
Al 26.98 Al.upf
Au 196.97 Au.upf
Zr 91.22 Zr.upf
CELL_PARAMETERS angstrom
-2.2664 -7.9579 4.4944
-3.0739 -8.7415 1.6738
-0.1897 -9.0566 2.5704
ATOMIC_POSITIONS crystal
Al 0.2483 0.2483 0.2483
Al 0.9952 0.9952 0.9952
Au 0.5068 0.5068 0.5068
Zr 0.7497 0.7497 0.7497
```

The calculation puts the calculated density at 7.7 g/cm3. As for the total magnetic moment: 0.00 μB/cell. The value obtained for the formation energy from the elements is -21 kJ/mol of atoms. The calculation puts the density of states at the Fermi level at 0.610 states/eV/atom.

=====

This record from the Alexandria database describes crystalline CrNi2Sb at its relaxed geometry. The functional is PBE-GGA. Values from VASP.

Structure (Quantum ESPRESSO input):
```
&SYSTEM
  ibrav = 0, nat = 4, ntyp = 3
/
ATOMIC_SPECIES
Cr 52.00 Cr.upf
Sb 121.76 Sb.upf
Ni 58.69 Ni.upf
CELL_PARAMETERS angstrom
5.1061 -0.1220 0.1907
-2.2344 4.5928 0.1907
0.7253 1.1292 2.6318
ATOMIC_POSITIONS crystal
Cr 0.0000 0.5000 0.5000
Sb 0.5000 0.0000 0.5000
Ni 0.0000 0.0000 0.0000
Ni 0.5000 0.5000 0.0000
```

The calculation puts the calculated density at 8.2 g/cm3. As for the total magnetic moment: 3.24 μB/cell. As for the formation energy without anion corrections: 0.29 eV/atom. The calculation puts the density of states at the Fermi level at 0.966 states/eV/atom.

=====

This record from the Alexandria database describes crystalline KAlNi2H8 at its relaxed geometry. The functional is PBE-GGA. Values from VASP.

Structure (Quantum ESPRESSO input):
```
&SYSTEM
  ibrav = 0, nat = 12, ntyp = 4
/
ATOMIC_SPECIES
H 1.01 H.upf
K 39.10 K.upf
Ni 58.69 Ni.upf
Al 26.98 Al.upf
CELL_PARAMETERS angstrom
4.5125 0.0000 0.0000
2.2563 3.9079 0.0000
2.2563 1.3026 6.4670
ATOMIC_POSITIONS crystal
H 0.2210 0.2210 0.3371
H 0.2854 0.9358 0.1561
H 0.7146 0.0642 0.8439
H 0.6228 0.2854 0.1561
H 0.3772 0.7146 0.8439
H 0.9358 0.6228 0.1561
H 0.0642 0.3772 0.8439
H 0.7790 0.7790 0.6629
K 0.5000 0.5000 0.5000
Ni 0.2979 0.2979 0.1062
Ni 0.7021 0.7021 0.8938
Al 0.0000 0.0000 0.0000
```

The calculation puts the calculated density at 2.8 g/cm3. As for the total magnetic moment: 0.21 μB/cell. The calculated total energy comes out at -3.5705 eV/atom. The calculation puts the density of states at the Fermi level at 0.386 states/eV/atom.

=====

This record from the Alexandria database describes crystalline ZnFeOs2 at its relaxed geometry. The functional is PBE-GGA. Values from VASP.

Structure (Quantum ESPRESSO input):
```
&SYSTEM
  ibrav = 0, nat = 4, ntyp = 3
/
ATOMIC_SPECIES
Os 190.23 Os.upf
Fe 55.84 Fe.upf
Zn 65.41 Zn.upf
CELL_PARAMETERS angstrom
-0.2104 1.3245 -4.0335
-3.1850 -2.7195 -0.7269
-1.9650 2.0904 0.7889
ATOMIC_POSITIONS crystal
Os 0.5000 0.5000 0.0000
Os 0.0000 0.0000 0.0000
Fe 0.0000 0.5000 0.5000
Zn 0.5000 0.0000 0.5000
```

The calculation puts the calculated density at 15.5 g/cm3. As for the total magnetic moment: 2.73 μB/cell. The value obtained for the formation energy from the elements is 33 kJ/mol of atoms. The calculation puts the density of states at the Fermi level at 0.970 states/eV/atom.

=====

This record from the Alexandria database describes crystalline PrZnCuNi at its relaxed geometry. The functional is PBE-GGA. Values from VASP.

Structure (Quantum ESPRESSO input):
```
&SYSTEM
  ibrav = 0, nat = 4, ntyp = 4
/
ATOMIC_SPECIES
Cu 63.55 Cu.upf
Zn 65.41 Zn.upf
Ni 58.69 Ni.upf
Pr 140.91 Pr.upf
CELL_PARAMETERS angstrom
4.2525 0.0000 0.0000
-2.1262 3.6834 -0.0046
0.0000 -2.4553 4.7487
ATOMIC_POSITIONS crystal
Cu 0.8193 0.6387 0.0998
Zn 0.1104 0.2208 0.9735
Ni 0.4181 0.8361 0.8970
Pr 0.6185 0.2370 0.4971
```

The calculation puts the calculated density at 7.3 g/cm3. As for the total magnetic moment: 0.00 μB/cell. The value obtained for the formation energy from the elements is -27 kJ/mol of atoms. The calculation puts the density of states at the Fermi level at 0.679 states/eV/atom.